The following is a DFT calculation (GGA-PBE) of a relaxed structure of AcSmBi2O6.

## Properties
The density of states at the Fermi level is 0.00 states/eV per cell. The value obtained for the energy relative to the elements, uncorrected is -2.28 eV per atom. Its crystal system is trigonal.

CIF file:
```
data_AcSmBi2O6
_chemical_formula_sum 'Ac3 Sm3 Bi6 O18'
_cell_length_a 6.2692
_cell_length_b 6.2692
_cell_length_c 15.4161
_cell_angle_alpha 90.00
_cell_angle_beta 90.00
_cell_angle_gamma 120.00
_space_group_name_H-M_alt 'R 3'
_space_group_IT_number 146
_space_group_name_Hall 'R 3'
loop_
_atom_site_label
_atom_site_type_symbol
_atom_site_fract_x
_atom_site_fract_y
_atom_site_fract_z
Ac1 Ac 0.0000 0.0000 0.0000
Sm1 Sm 0.0000 0.0000 0.5083
Bi1 Bi 0.0000 0.0000 0.2223
Bi2 Bi 0.0000 0.0000 0.7239
O1 O 0.0172 0.2890 0.1239
O2 O 0.0721 0.6777 0.2895
```

The following is a DFT calculation (GGA-PBE) of a relaxed structure of Dy6Hg3Ru.

## Properties
The density of states at the Fermi level is 13.18 states/eV per cell. Its crystal system is monoclinic. For the formation enthalpy at 0 K, the calculation gives -373.3 meV per atom.

CIF file:
```
data_Dy6Hg3Ru
_chemical_formula_sum 'Dy12 Hg6 Ru2'
_cell_length_a 9.052
_cell_length_b 5.269
_cell_length_c 11.315
_cell_angle_alpha 90.00
_cell_angle_beta 108.06
_cell_angle_gamma 90.00
_space_group_name_H-M_alt 'P 1 21/m 1'
_space_group_IT_number 11
_space_group_name_Hall '-P 2yb'
loop_
_atom_site_label
_atom_site_type_symbol
_atom_site_fract_x
_atom_site_fract_y
_atom_site_fract_z
Dy1 Dy 0.029 0.250 0.410
Dy2 Dy 0.184 0.750 0.164
Dy3 Dy 0.276 0.250 0.999
Dy4 Dy 0.350 0.750 0.837
Dy5 Dy 0.382 0.250 0.348
Dy6 Dy 0.386 0.250 0.650
Hg1 Hg 0.002 0.750 0.869
Hg2 Hg 0.087 0.250 0.716
Hg3 Hg 0.278 0.750 0.475
Ru1 Ru 0.461 0.750 0.096
```

The following is a DFT calculation (GGA-PBE) of a relaxed structure of ScOs.

## Properties
The density of states at the Fermi level is 1.84 states/eV per cell. Its crystal system is hexagonal. For the formation enthalpy at 0 K, the calculation gives -28.5 meV per atom.

CIF file:
```
data_ScOs
_chemical_formula_sum 'Sc2 Os2'
_cell_length_a 3.0300
_cell_length_b 3.0300
_cell_length_c 8.5300
_cell_angle_alpha 90.00
_cell_angle_beta 90.00
_cell_angle_gamma 120.00
_space_group_name_H-M_alt 'P 63/m m c'
_space_group_IT_number 194
_space_group_name_Hall '-P 6c 2c'
loop_
_atom_site_label
_atom_site_type_symbol
_atom_site_fract_x
_atom_site_fract_y
_atom_site_fract_z
Sc1 Sc 0.0000 0.0000 0.0000
Os1 Os 0.3333 0.6667 0.2500
```

The following is a DFT calculation (GGA-PBE) of a relaxed structure of GdNpGe2.

## Properties
The density of states at the Fermi level is 24.71 states/eV per cell. Its crystal system is trigonal. For the formation enthalpy at 0 K, the calculation gives -310.7 meV per atom.

CIF file:
```
data_GdNpGe2
_chemical_formula_sum 'Gd3 Np3 Ge6'
_cell_length_a 5.0310
_cell_length_b 5.0310
_cell_length_c 12.3718
_cell_angle_alpha 90.00
_cell_angle_beta 90.00
_cell_angle_gamma 120.00
_space_group_name_H-M_alt 'R -3 m'
_space_group_IT_number 166
_space_group_name_Hall '-R 3 2"'
loop_
_atom_site_label
_atom_site_type_symbol
_atom_site_fract_x
_atom_site_fract_y
_atom_site_fract_z
Gd1 Gd 0.0000 0.0000 0.0000
Np1 Np 0.0000 0.0000 0.5000
Ge1 Ge 0.0000 0.0000 0.2499
```

The following is a DFT calculation (GGA-PBE) of a relaxed structure of BaSi2P.

## Properties
The density of states at the Fermi level is 0.50 states/eV per cell. The value obtained for the energy relative to the elements, uncorrected is -0.20 eV per atom. Its crystal system is orthorhombic.

CIF file:
```
data_BaSi2P
_chemical_formula_sum 'Ba1 Si2 P1'
_cell_length_a 4.031
_cell_length_b 4.198
_cell_length_c 5.667
_cell_angle_alpha 90.00
_cell_angle_beta 90.00
_cell_angle_gamma 90.00
_space_group_name_H-M_alt 'P m m 2'
_space_group_IT_number 25
_space_group_name_Hall 'P 2 -2'
loop_
_atom_site_label
_atom_site_type_symbol
_atom_site_fract_x
_atom_site_fract_y
_atom_site_fract_z
Ba1 Ba 0.000 0.000 0.000
Si1 Si 0.000 0.500 0.533
Si2 Si 0.500 0.500 0.284
P1 P 0.500 0.000 0.507
```

The following is a DFT calculation (GGA-PBE) of a relaxed structure of HfCuOs.

## Properties
The density of states at the Fermi level is 7.07 states/eV per cell. Its crystal system is orthorhombic. For the formation enthalpy at 0 K, the calculation gives -195.8 meV per atom.

CIF file:
```
data_HfCuOs
_chemical_formula_sum 'Hf4 Cu4 Os4'
_cell_length_a 4.271
_cell_length_b 9.302
_cell_length_c 4.947
_cell_angle_alpha 90.00
_cell_angle_beta 90.00
_cell_angle_gamma 90.00
_space_group_name_H-M_alt 'C m c m'
_space_group_IT_number 63
_space_group_name_Hall '-C 2c 2'
loop_
_atom_site_label
_atom_site_type_symbol
_atom_site_fract_x
_atom_site_fract_y
_atom_site_fract_z
Hf1 Hf 0.000 0.223 0.250
Cu1 Cu 0.000 0.500 0.000
Os1 Os 0.000 0.086 0.750
```

The following is a DFT calculation (GGA-PBE) of a relaxed structure of CsTlPb2F8.

## Properties
The density of states at the Fermi level is 0.00 states/eV per cell. The value obtained for the energy relative to the elements, uncorrected is -2.25 eV per atom. Its crystal system is triclinic.

CIF file:
```
data_CsTlPb2F8
_chemical_formula_sum 'Cs1 Tl1 Pb2 F8'
_cell_length_a 4.597
_cell_length_b 6.095
_cell_length_c 8.313
_cell_angle_alpha 92.44
_cell_angle_beta 96.07
_cell_angle_gamma 96.57
_space_group_name_H-M_alt 'P -1'
_space_group_IT_number 2
_space_group_name_Hall '-P 1'
loop_
_atom_site_label
_atom_site_type_symbol
_atom_site_fract_x
_atom_site_fract_y
_atom_site_fract_z
Cs1 Cs 0.000 0.000 0.000
Tl1 Tl 0.000 0.000 0.500
Pb1 Pb 0.466 0.498 0.750
F1 F 0.003 0.729 0.295
F2 F 0.095 0.771 0.692
F3 F 0.426 0.213 0.513
F4 F 0.456 0.707 0.017
```

The following is a DFT calculation (GGA-PBE) of a relaxed structure of MnCoPdCl2.

## Properties
The density of states at the Fermi level is 10.91 states/eV per cell. The value obtained for the energy relative to the elements, uncorrected is 0.72 eV per atom. Its crystal system is tetragonal.

CIF file:
```
data_MnCoPdCl2
_chemical_formula_sum 'Mn1 Co1 Pd1 Cl2'
_cell_length_a 4.813
_cell_length_b 4.813
_cell_length_c 4.884
_cell_angle_alpha 90.00
_cell_angle_beta 90.00
_cell_angle_gamma 90.00
_space_group_name_H-M_alt 'P 4/m m m'
_space_group_IT_number 123
_space_group_name_Hall '-P 4 2'
loop_
_atom_site_label
_atom_site_type_symbol
_atom_site_fract_x
_atom_site_fract_y
_atom_site_fract_z
Mn1 Mn 0.000 0.000 0.000
Co1 Co 0.500 0.500 0.000
Pd1 Pd 0.500 0.500 0.500
Cl1 Cl 0.000 0.500 0.500
```

The following is a DFT calculation (GGA-PBE) of a relaxed structure of AlCu2Ni.

## Properties
The density of states at the Fermi level is 3.52 states/eV per cell. Its crystal system is orthorhombic. For the formation enthalpy at 0 K, the calculation gives -153.0 meV per atom.

CIF file:
```
data_AlCu2Ni
_chemical_formula_sum 'Al2 Cu4 Ni2'
_cell_length_a 4.785
_cell_length_b 4.223
_cell_length_c 4.967
_cell_angle_alpha 90.00
_cell_angle_beta 90.00
_cell_angle_gamma 90.00
_space_group_name_H-M_alt 'P m m a'
_space_group_IT_number 51
_space_group_name_Hall '-P 2a 2a'
loop_
_atom_site_label
_atom_site_type_symbol
_atom_site_fract_x
_atom_site_fract_y
_atom_site_fract_z
Al1 Al 0.250 0.000 0.197
Cu1 Cu 0.000 0.500 0.500
Cu2 Cu 0.250 0.500 0.944
Ni1 Ni 0.250 0.000 0.677
```

The following is a DFT calculation (GGA-PBE) of a relaxed structure of K2LiZn.

## Properties
The density of states at the Fermi level is 4.52 states/eV per cell. Its crystal system is monoclinic. For the formation enthalpy at 0 K, the calculation gives 263.0 meV per atom.

CIF file:
```
data_K2LiZn
_chemical_formula_sum 'K4 Li2 Zn2'
_cell_length_a 11.453
_cell_length_b 4.134
_cell_length_c 7.299
_cell_angle_alpha 90.00
_cell_angle_beta 102.06
_cell_angle_gamma 90.00
_space_group_name_H-M_alt 'C 1 2/m 1'
_space_group_IT_number 12
_space_group_name_Hall '-C 2y'
loop_
_atom_site_label
_atom_site_type_symbol
_atom_site_fract_x
_atom_site_fract_y
_atom_site_fract_z
K1 K 0.238 0.000 0.234
Li1 Li 0.000 0.000 0.500
Zn1 Zn 0.000 0.500 0.000
```

The following is a DFT calculation (GGA-PBE) of a relaxed structure of La2CeTmSe4.

## Properties
The density of states at the Fermi level is 8.90 states/eV per cell. The value obtained for the energy relative to the elements, uncorrected is -1.87 eV per atom. Its crystal system is monoclinic.

CIF file:
```
data_La2CeTmSe4
_chemical_formula_sum 'La2 Ce1 Tm1 Se4'
_cell_length_a 7.302
_cell_length_b 4.180
_cell_length_c 7.333
_cell_angle_alpha 90.00
_cell_angle_beta 109.06
_cell_angle_gamma 90.00
_space_group_name_H-M_alt 'P 1 2/m 1'
_space_group_IT_number 10
_space_group_name_Hall '-P 2y'
loop_
_atom_site_label
_atom_site_type_symbol
_atom_site_fract_x
_atom_site_fract_y
_atom_site_fract_z
La1 La 0.000 0.000 0.000
La2 La 0.500 0.500 0.000
Ce1 Ce 0.000 0.500 0.500
Tm1 Tm 0.500 0.000 0.500
Se1 Se 0.254 0.000 0.737
Se2 Se 0.264 0.500 0.269
```

The following is a DFT calculation (GGA-PBE) of a relaxed structure of RbCrPCl2.

## Properties
The density of states at the Fermi level is 0.77 states/eV per cell. The value obtained for the energy relative to the elements, uncorrected is -0.74 eV per atom. The distance to the lowest polymorph of the same formula comes out at 0.0 meV/atom. Its crystal system is tetragonal.

CIF file:
```
data_RbCrPCl2
_chemical_formula_sum 'Rb1 Cr1 P1 Cl2'
_cell_length_a 5.193
_cell_length_b 5.193
_cell_length_c 4.592
_cell_angle_alpha 90.00
_cell_angle_beta 90.00
_cell_angle_gamma 90.00
_space_group_name_H-M_alt 'P 4/m m m'
_space_group_IT_number 123
_space_group_name_Hall '-P 4 2'
loop_
_atom_site_label
_atom_site_type_symbol
_atom_site_fract_x
_atom_site_fract_y
_atom_site_fract_z
Rb1 Rb 0.000 0.000 0.000
Cr1 Cr 0.500 0.500 0.500
P1 P 0.500 0.500 0.000
Cl1 Cl 0.000 0.500 0.500
```